[1]
Density functional theory data (PBE) for ZrTl2Cu after structural relaxation.

Output
ρ: 10727 kg/m³
size of the total moment: 0.0 μB/cell
density of states at the Fermi level: 8.05 states/eV per cell
total energy: -49.3 eV per cell
formation energy: 0.23 eV per atom

Cell and atoms, written as CIF:
```
data_ZrTl2Cu
_symmetry_space_group_name_H-M 'R -3 m'
_symmetry_Int_Tables_number 166
_symmetry_space_group_name_Hall '-R 3 2"'
_cell_length_a 3.2831
_cell_length_b 3.2831
_cell_length_c 28.0363
_cell_angle_alpha 90.00
_cell_angle_beta 90.00
_cell_angle_gamma 120.00
loop_
_atom_site_label
_atom_site_fract_x
_atom_site_fract_y
_atom_site_fract_z
_atom_site_occupancy
Zr1 0.0000 0.0000 0.0000 1
Tl1 0.0000 0.0000 0.2419 1
Cu1 0.0000 0.0000 0.5000 1
```

***

[2]
Density functional theory data (PBE) for Sc2PtBr after structural relaxation.

Output
ρ: 6438 kg/m³
size of the total moment: 0.0 μB/cell
density of states at the Fermi level: 6.43 states/eV per cell
total energy: -93.3 eV per cell
uncorrected formation energy: -0.734 eV per atom

Cell and atoms, written as CIF:
```
data_Sc2PtBr
_symmetry_space_group_name_H-M 'I -4 2 d'
_symmetry_Int_Tables_number 122
_symmetry_space_group_name_Hall 'I -4 2bw'
_cell_length_a 7.086
_cell_length_b 7.086
_cell_length_c 7.497
_cell_angle_alpha 90.00
_cell_angle_beta 90.00
_cell_angle_gamma 90.00
loop_
_atom_site_label
_atom_site_fract_x
_atom_site_fract_y
_atom_site_fract_z
_atom_site_occupancy
Sc1 0.230 0.750 0.125 1
Pt1 0.000 0.000 0.000 1
Br1 0.000 0.000 0.500 1
```